No. 1
Material: TmLuGeRh
Method: DFT, PBE
State: optimized geometry

Unit cell a=4.864 b=4.864 c=4.864 alpha=60.00 beta=60.00 gamma=60.00
Positions (direct):
Tm (0.000, 0.000, 0.000)
Lu (0.500, 0.500, 0.500)
Ge (0.250, 0.250, 0.250)
Rh (0.750, 0.750, 0.750)

Results
energy	-6.015	eV/atom
energy of formation	-775	meV/atom



No. 2
Material: LuZnGeRh
Method: DFT, PBE
State: optimized geometry

Unit cell a=4.559 b=4.559 c=4.559 alpha=60.00 beta=60.00 gamma=60.00
Positions (direct):
Lu (0.000, 0.000, 0.000)
Zn (0.750, 0.750, 0.750)
Ge (0.250, 0.250, 0.250)
Rh (0.500, 0.500, 0.500)

Results
energy	-4.992	eV/atom
energy of formation	-552	meV/atom



No. 3
Material: Lu2GeRu
Method: DFT, PBE
State: optimized geometry

Unit cell a=3.402 b=3.402 c=6.933 alpha=90.00 beta=90.00 gamma=90.00
Positions (direct):
Lu (0.000, 0.000, 0.233)
Lu (0.000, 0.000, 0.767)
Ge (0.500, 0.500, 0.500)
Ru (0.500, 0.500, 0.000)

Results
energy	-6.357	eV/atom
energy of formation	-623	meV/atom



No. 4
Material: LuGeRu
Method: DFT, PBE
State: optimized geometry

Unit cell a=6.917 b=4.356 c=7.233 alpha=90.00 beta=90.00 gamma=90.00
Positions (direct):
Lu (0.010, 0.250, 0.192)
Lu (0.490, 0.750, 0.692)
Lu (0.510, 0.250, 0.308)
Lu (0.990, 0.750, 0.808)
Ge (0.206, 0.250, 0.609)
Ge (0.294, 0.750, 0.109)
Ge (0.706, 0.250, 0.891)
Ge (0.794, 0.750, 0.391)
Ru (0.157, 0.750, 0.439)
Ru (0.343, 0.250, 0.939)
Ru (0.657, 0.750, 0.061)
Ru (0.843, 0.250, 0.561)

Results
energy	-6.877	eV/atom
energy of formation	-739	meV/atom